A relaxed structure of LaVTc2Te. Source: Alexandria via LeMat-Bulk, functional PBE.

Summary:
Energy relative to the elements, uncorrected: 2.011 eV/atom
V: 137 Å³/f.u.
E: -0.4096 Ry per atom

Lattice parameters (Å, degrees): 4.765 4.765 6.042 90.00 90.00 90.00
Space group P4/mmm (No. 123)
Symmetry-distinct sites (fractional):
La (0.000, 0.000, 0.000) x1
V (0.500, 0.500, 0.500) x1
Tc (0.000, 0.500, 0.000) x2
Te (0.000, 0.000, 0.500) x1